Cs2HgH2Br6: optimized geometry, PBE-GGA.

a b c (Å): 8.0332 7.8411 8.4054
angles (deg): 114.32 90.00 120.81
Positions (direct):
Br  0.3065  0.0866  0.7596
Cs  0.2891  0.5782  0.8086
Br  0.7801  0.0866  0.7596
Hg  0.5000  0.0000  0.5000
H  0.9074  0.8147  0.7362
Cs  0.7109  0.4218  0.1914
Br  0.2025  0.4049  0.2690
Br  0.2199  0.9134  0.2404
Br  0.7975  0.5951  0.7310
Br  0.6935  0.9134  0.2404
H  0.0926  0.1853  0.2638

Crystal system = monoclinic

Mg4ScW2: optimized geometry, PBE-GGA.

a b c (Å): 5.1729 5.1729 7.8517
angles (deg): 70.77 70.77 90.00
Positions (direct):
Sc  0.0000  0.0000  0.0000
Mg  0.7933  0.7933  0.4135
Mg  0.2067  0.2067  0.5865
W  0.4183  0.4183  0.1633
Mg  0.5000  0.0000  0.0000
Mg  0.0000  0.5000  0.0000
W  0.5817  0.5817  0.8367

Formation enthalpy at 0 K = 1.320 eV per atom
Crystal system = tetragonal

Ρ, respectively: 3.9; 4.6 g/cm³.
E_tot, respectively: -0.1869; -0.3085 Ry per atom.